(1)
Entry from the Alexandria database: a relaxed CePrTm14 crystal (GGA-PBE).

## Properties
total moment: 0.57 μB per cell
energy of formation: 69 meV per atom
calculated total energy: -4.51 eV per atom

Structure (CIF):
```
data_CePrTm14
_chemical_formula_sum 'Ce1 Pr1 Tm14'
_symmetry_space_group_name_H-M 'P 1'
_symmetry_Int_Tables_number 1
_cell_length_a 6.858
_cell_length_b 6.858
_cell_length_c 10.988
_cell_angle_alpha 90.00
_cell_angle_beta 90.00
_cell_angle_gamma 108.54
loop_
_symmetry_equiv_pos_as_xyz
'x,y,z'
loop_
_atom_site_label
_atom_site_fract_x
_atom_site_fract_y
_atom_site_fract_z
Tm1 0.902 0.098 0.737
Tm2 0.348 0.652 0.232
Ce1 0.137 0.863 0.500
Tm3 0.412 0.164 0.248
Tm4 0.836 0.588 0.248
Tm5 0.040 0.372 0.000
Tm6 0.836 0.588 0.752
Tm7 0.348 0.652 0.768
Tm8 0.902 0.098 0.263
Tm9 0.627 0.787 0.500
Tm10 0.412 0.164 0.752
Tm11 0.213 0.373 0.500
Tm12 0.556 0.444 0.000
Pr1 0.698 0.302 0.500
Tm13 0.106 0.894 0.000
Tm14 0.628 0.960 0.000
```


(2)
Entry from the Alexandria database: a relaxed CePr14Tm crystal (GGA-PBE).

## Properties
total moment: 1.31 μB per cell
energy of formation: 30 meV per atom
calculated total energy: -4.80 eV per atom

Structure (CIF):
```
data_CePr14Tm
_chemical_formula_sum 'Ce1 Pr14 Tm1'
_symmetry_space_group_name_H-M 'P 1'
_symmetry_Int_Tables_number 1
_cell_length_a 7.370
_cell_length_b 7.370
_cell_length_c 10.463
_cell_angle_alpha 90.00
_cell_angle_beta 90.00
_cell_angle_gamma 89.98
loop_
_symmetry_equiv_pos_as_xyz
'x,y,z'
loop_
_atom_site_label
_atom_site_fract_x
_atom_site_fract_y
_atom_site_fract_z
Pr1 0.875 0.125 0.500
Pr2 0.374 0.125 0.500
Pr3 0.875 0.626 0.500
Pr4 0.875 0.624 0.000
Pr5 0.375 0.625 0.500
Pr6 0.625 0.875 0.246
Ce1 0.875 0.125 0.000
Pr7 0.124 0.876 0.245
Pr8 0.124 0.876 0.755
Tm1 0.375 0.625 0.000
Pr9 0.625 0.375 0.754
Pr10 0.125 0.375 0.246
Pr11 0.625 0.875 0.754
Pr12 0.376 0.125 0.000
Pr13 0.125 0.375 0.754
Pr14 0.625 0.375 0.246
```


> Number 1 is which compound?

CePrTm14